# 1
AcZnI: relaxed, GGA-PBE.

Values from the calculation:
Electronic total energy: -2.784 eV/atom
V: 33.502 A^3/atom
Space-group type: I4mm, No. 107
Formation energy from raw total energies: -0.47 eV per atom
Crystal system: tetragonal
Polymorph energy (0 for the lowest one): 1.182 eV per formula unit

Unit cell a=6.4995 b=6.4995 c=6.4995 alpha=142.62 beta=142.62 gamma=53.89
Last column: nearest neighbours and their distance in Å.
Fractional positions:
Ac (0.0000, 0.0000, 0.0000)  4 Zn 3.30, 4 I 3.58
Zn (0.6286, 0.6286, 0.0000)  4 Ac 3.30, 1 I 3.52
I (0.3250, 0.3250, 0.0000)  5 Zn 3.52-3.72, 5 Ac 3.58-3.77

# 2
Ac2ZnI2: relaxed, GGA-PBE.

Values from the calculation:
Electronic total energy: -3.387 eV/atom
V: 43.875 A^3/atom
Space-group type: R-3m, No. 166
Formation energy from raw total energies: -0.87 eV per atom
Crystal system: trigonal

Unit cell a=12.6626 b=12.6626 c=12.6626 alpha=20.57 beta=20.57 gamma=20.57
Last column: nearest neighbours and their distance in Å.
Fractional positions:
Ac (0.1149, 0.1149, 0.1149)  3 Zn 3.24, 3 I 3.41
Ac (0.8851, 0.8851, 0.8851)  3 Zn 3.24, 3 I 3.41
Zn (0.5000, 0.5000, 0.5000)  6 Ac 3.24
I (0.2776, 0.2776, 0.2776)  3 Ac 3.41
I (0.7224, 0.7224, 0.7224)  3 Ac 3.41

# 3
AcZn2I8: relaxed, GGA-PBE.

Values from the calculation:
Electronic total energy: -2.540 eV/atom
V: 52.467 A^3/atom
Space-group type: C2/m, No. 12
Formation energy from raw total energies: -0.81 eV per atom
Crystal system: monoclinic

Unit cell a=9.0636 b=9.0636 c=7.1151 alpha=94.88 beta=94.88 gamma=95.49
Last column: nearest neighbours and their distance in Å.
Fractional positions:
Ac (0.0000, 0.0000, 0.0000)  6 I 3.27-3.29
Zn (0.2421, 0.2421, 0.6766)  4 I 2.65-2.66
Zn (0.7579, 0.7579, 0.3234)  4 I 2.65-2.66
I (0.0228, 0.6995, 0.2241)  1 Zn 2.65
I (0.2261, 0.2261, 0.3000)  1 Zn 2.66
I (0.3005, 0.9772, 0.7759)  1 Zn 2.65
I (0.4602, 0.4602, 0.7598)  1 Zn 2.65
I (0.5398, 0.5398, 0.2402)  1 Zn 2.65
I (0.6995, 0.0228, 0.2241)  1 Zn 2.65
I (0.7739, 0.7739, 0.7000)  1 Zn 2.66
I (0.9772, 0.3005, 0.7759)  1 Zn 2.65

# 4
Ac2ZnI: relaxed, GGA-PBE.

Values from the calculation:
Electronic total energy: -3.316 eV/atom
V: 33.712 A^3/atom
Space-group type: P4/mmm, No. 123
Formation energy from raw total energies: -0.56 eV per atom
Crystal system: tetragonal
Polymorph energy (0 for the lowest one): 0.031 eV per formula unit

Unit cell a=3.8852 b=3.8852 c=8.9334 alpha=90.00 beta=90.00 gamma=90.00
Last column: nearest neighbours and their distance in Å.
Fractional positions:
Ac (0.0000, 0.0000, 0.2159)  4 Zn 3.36, 4 I 3.74
Ac (0.0000, 0.0000, 0.7841)  4 Zn 3.36, 4 I 3.74
Zn (0.5000, 0.5000, 0.0000)  8 Ac 3.36
I (0.5000, 0.5000, 0.5000)  8 Ac 3.74, 4 I 3.89

# 5
AcZnI: relaxed, GGA-PBE.

Values from the calculation:
Electronic total energy: -3.178 eV/atom
V: 37.733 A^3/atom
Space-group type: C2/m, No. 12
Formation energy from raw total energies: -0.87 eV per atom
Crystal system: monoclinic
Polymorph energy (0 for the lowest one): 0.000 eV per formula unit

Unit cell a=4.5563 b=4.5563 c=12.5934 alpha=90.69 beta=90.69 gamma=60.00
Last column: nearest neighbours and their distance in Å.
Fractional positions:
Ac (0.0038, 0.0038, 0.1647)  6 Zn 3.33-3.37, 3 I 3.44
Ac (0.9962, 0.9962, 0.8353)  6 Zn 3.33-3.37, 3 I 3.44
Zn (0.3334, 0.3334, 0.0020)  3 Zn 2.63
Zn (0.6666, 0.6666, 0.9980)  3 Zn 2.63
I (0.3256, 0.3256, 0.6588)  3 Ac 3.44
I (0.6744, 0.6744, 0.3412)  3 Ac 3.44

# 6
Ac2ZnI: relaxed, GGA-PBE.

Values from the calculation:
Electronic total energy: -3.323 eV/atom
V: 36.608 A^3/atom
Space-group type: R3m, No. 160
Formation energy from raw total energies: -0.56 eV per atom
Crystal system: trigonal
Polymorph energy (0 for the lowest one): 0.001 eV per formula unit

Unit cell a=9.5203 b=9.5203 c=9.5203 alpha=26.03 beta=26.03 gamma=26.03
Last column: nearest neighbours and their distance in Å.
Fractional positions:
Ac (0.0000, 0.0000, 0.0000)  3 Zn 3.19
Ac (0.1872, 0.1872, 0.1872)  3 Zn 3.19, 3 I 3.57
Zn (0.5937, 0.5937, 0.5937)  6 Ac 3.19
I (0.7606, 0.7606, 0.7606)  6 Ac 3.57-3.58